1.
Below is a geometry-optimized CrRe2Ni structure, with properties calculated at the PBEsol level.

Calculated values
Total DFT energy (no corrections), eV/cell: -42.64
Energy relative to the elements, eV per atom: 0.11
Space-group type: Cm

Lattice parameters (Å, degrees): 4.522 4.522 4.496 100.03 100.03 34.60
Sites, in units of the cell vectors:
Cr1 0.000 0.000 0.000
Re1 0.505 0.505 0.521
Re2 0.748 0.748 0.246
Ni1 0.254 0.254 0.760



2.
Below is a geometry-optimized CrRe2Ni structure, with properties calculated at the PBEsol level.

Calculated values
Total DFT energy (no corrections), eV/cell: -42.28
Energy relative to the elements, eV per atom: 0.20
Space-group type: F-43m

Lattice parameters (Å, degrees): 4.200 4.200 4.200 60.00 60.00 60.00
Sites, in units of the cell vectors:
Cr1 0.000 0.000 0.000
Re1 0.250 0.250 0.250
Re2 0.500 0.500 0.500
Ni1 0.750 0.750 0.750



3.
Below is a geometry-optimized CrRe2Ni structure, with properties calculated at the PBEsol level.

Calculated values
Total DFT energy (no corrections), eV/cell: -42.94
Energy relative to the elements, eV per atom: 0.03
Space-group type: I-4m2

Lattice parameters (Å, degrees): 4.528 4.528 4.528 131.40 131.40 71.18
Sites, in units of the cell vectors:
Cr1 0.000 0.000 0.000
Re1 0.500 0.500 0.000
Re2 0.750 0.250 0.500
Ni1 0.250 0.750 0.500



no.,mass density (g/cm3)
1,15.63
2,15.31
3,15.69